The following is a DFT calculation (PBE) of a geometry-optimized Sr2Zn5Ag12 structure.

Results
- Mass density: 7.98 g cm⁻³
- DOS at the Fermi energy: 0.117 states/eV/atom
- Total moment: 0.00 μB per cell
- Volume: 19.679 A^3/atom
- E_tot: -46.6 eV for the cell shown

abc: 7.258 7.258 7.258
angles: 82.77 82.77 82.77
Positions (direct):
Sr (0.652, 0.652, 0.652)
Sr (0.348, 0.348, 0.348)
Zn (0.000, 0.000, 0.500)
Zn (0.000, 0.500, 0.000)
Zn (0.500, 0.000, 0.000)
Zn (0.902, 0.902, 0.902)
Zn (0.098, 0.098, 0.098)
Ag (0.299, 0.701, 0.000)
Ag (0.701, 0.000, 0.299)
Ag (0.000, 0.299, 0.701)
Ag (0.701, 0.299, 0.000)
Ag (0.299, 0.000, 0.701)
Ag (0.000, 0.701, 0.299)
Ag (0.340, 0.340, 0.861)
Ag (0.340, 0.861, 0.340)
Ag (0.861, 0.340, 0.340)
Ag (0.660, 0.139, 0.660)
Ag (0.660, 0.660, 0.139)
Ag (0.139, 0.660, 0.660)

The following is a DFT calculation (PBE) of a geometry-optimized HgIrI2O structure.

Results
- Mass density: 8.88 g cm⁻³
- DOS at the Fermi energy: 0.785 states/eV/atom
- Total moment: 0.00 μB per cell
- Volume: 24.773 A^3/atom
- E_tot: -17.4 eV for the cell shown
- Formation energy without anion corrections: -0.036 eV per atom

abc: 5.731 5.731 3.771
angles: 90.00 90.00 90.00
Positions (direct):
I (0.000, 0.500, 0.000)
I (0.500, 0.000, 0.000)
Ir (0.000, 0.000, 0.000)
Hg (0.500, 0.500, 0.500)
O (0.000, 0.000, 0.500)

The following is a DFT calculation (PBE) of a geometry-optimized CdW2Br structure.

Results
- Mass density: 10.91 g cm⁻³
- DOS at the Fermi energy: 0.824 states/eV/atom
- Total moment: 0.00 μB per cell
- Volume: 21.306 A^3/atom
- E_tot: -26.3 eV for the cell shown
- Formation energy without anion corrections: 0.557 eV per atom

abc: 3.215 3.215 8.243
angles: 90.00 90.00 90.00
Positions (direct):
Br (0.000, 0.000, 0.447)
W (0.000, 0.000, 0.043)
W (0.500, 0.500, 0.205)
Cd (0.500, 0.500, 0.805)

The following is a DFT calculation (PBE) of a geometry-optimized TbHPt structure.

Results
- Mass density: 12.08 g cm⁻³
- DOS at the Fermi energy: 0.349 states/eV/atom
- Total moment: 0.00 μB per cell
- Volume: 16.267 A^3/atom
- E_tot: -15.9 eV for the cell shown

abc: 3.588 3.963 3.963
angles: 120.00 90.00 90.00
Positions (direct):
H (0.167, 0.667, 0.333)
Tb (0.666, 0.333, 0.667)
Pt (0.166, 0.000, 0.000)

Repeat the third record exactly.
The following is a DFT calculation (PBE) of a geometry-optimized CdW2Br structure.

Results
- Mass density: 10.91 g cm⁻³
- DOS at the Fermi energy: 0.824 states/eV/atom
- Total moment: 0.00 μB per cell
- Volume: 21.306 A^3/atom
- E_tot: -26.3 eV for the cell shown
- Formation energy without anion corrections: 0.557 eV per atom

abc: 3.215 3.215 8.243
angles: 90.00 90.00 90.00
Positions (direct):
Br (0.000, 0.000, 0.447)
W (0.000, 0.000, 0.043)
W (0.500, 0.500, 0.205)
Cd (0.500, 0.500, 0.805)

Q: Number 1 is which compound?
A: Sr2Zn5Ag12

Repeat the fourth record exactly.
The following is a DFT calculation (PBE) of a geometry-optimized TbHPt structure.

Results
- Mass density: 12.08 g cm⁻³
- DOS at the Fermi energy: 0.349 states/eV/atom
- Total moment: 0.00 μB per cell
- Volume: 16.267 A^3/atom
- E_tot: -15.9 eV for the cell shown

abc: 3.588 3.963 3.963
angles: 120.00 90.00 90.00
Positions (direct):
H (0.167, 0.667, 0.333)
Tb (0.666, 0.333, 0.667)
Pt (0.166, 0.000, 0.000)